Entry 1:
Here is a relaxed structure of MgTlBrF2 from the Alexandria database. Energies are from GGA-PBE.

a b c (Å): 4.0195 7.0472 7.9343
angles (deg): 90.00 90.00 106.57
With the nearest neighbours (Å) after each atom.
Positions (direct):
Mg 0.0000 0.0000 0.0000  2 F 1.87
Mg 0.0000 0.0000 0.5000  2 F 1.87
Tl 0.7261 0.4522 0.7500  6 F 2.86-3.00
Tl 0.2739 0.5478 0.2500  6 F 2.86-3.00
Br 0.4645 0.9290 0.7500  4 Mg 2.86
Br 0.5355 0.0710 0.2500  4 Mg 2.86
F 0.1355 0.2710 0.9543  1 Mg 1.87
F 0.8645 0.7290 0.0457  1 Mg 1.87
F 0.1355 0.2710 0.5457  1 Mg 1.87
F 0.8645 0.7290 0.4543  1 Mg 1.87

## Properties
Formation energy without anion corrections in eV/atom: -2.161
Offset from the most stable computed form in meV per atom: 0
Space group: Cmcm (63)

Entry 2:
Here is a relaxed structure of Ta3Cu from the Alexandria database. Energies are from GGA-PBE.

a b c (Å): 2.8171 2.7713 9.0939
angles (deg): 90.00 90.00 90.00
With the nearest neighbours (Å) after each atom.
Positions (direct):
Cu 0.0000 0.0000 0.9722  6 Ta 2.72-2.76, 4 Cu 2.77-2.82
Ta 0.0000 0.5000 0.4619  10 Ta 2.77-3.04
Ta 0.5000 0.5000 0.1833  4 Cu 2.76, 6 Ta 2.77-2.90
Ta 0.5000 0.0000 0.7160  2 Cu 2.72, 8 Ta 2.77-3.04

## Properties
Energy relative to the elements in kcal/mol of atoms: 9.14
Space group: Pmm2 (25)

Entry 3:
Here is a relaxed structure of NdEr2Hg2 from the Alexandria database. Energies are from GGA-PBE.

a b c (Å): 3.7313 5.3731 13.8648
angles (deg): 90.00 97.72 90.00
With the nearest neighbours (Å) after each atom.
Positions (direct):
Nd 0.8518 0.7500 0.7071  6 Hg 3.27-3.37, 2 Er 3.65
Nd 0.1482 0.2500 0.2929  6 Hg 3.27-3.37, 2 Er 3.65
Er 0.0485 0.7500 0.0958  8 Hg 3.15-3.27
Er 0.9515 0.2500 0.9042  8 Hg 3.15-3.27
Er 0.2360 0.7500 0.4725  2 Hg 3.14-3.15, 4 Er 3.36
Er 0.7640 0.2500 0.5275  2 Hg 3.14-3.15, 4 Er 3.36
Hg 0.6448 0.7500 0.2883  4 Er 3.14-3.24, 4 Nd 3.27
Hg 0.3552 0.2500 0.7117  4 Er 3.14-3.24, 4 Nd 3.27
Hg 0.4558 0.7500 0.9111  6 Er 3.15-3.27, 2 Nd 3.36-3.37
Hg 0.5442 0.2500 0.0889  6 Er 3.15-3.27, 2 Nd 3.36-3.37

## Properties
Offset from the most stable computed form in meV per atom: 0
Energy relative to the elements in kcal/mol of atoms: -8.70
Space group: P2_1/m (11)

Entry 4:
Here is a relaxed structure of CdGaB2Pb from the Alexandria database. Energies are from GGA-PBE.

a b c (Å): 4.3962 5.5260 4.3962
angles (deg): 90.00 90.00 90.00
With the nearest neighbours (Å) after each atom.
Positions (direct):
Pb 0.5000 0.5000 0.5000  4 Ga 3.11
B 0.0000 0.0000 0.5000  2 Cd 2.20
B 0.5000 0.0000 0.0000  2 Cd 2.20
Ga 0.0000 0.5000 0.0000  2 Cd 2.76
Cd 0.0000 0.0000 0.0000  4 B 2.20

## Properties
Energy relative to the elements in kcal/mol of atoms: 34.89
Space group: P4/mmm (123)